The following is a DFT calculation (PBE-GGA) of a geometry-optimized ScAlCd2 structure.

Output
* uncorrected energy: -3.057 eV/atom
* formation energy: -0.081 eV per atom
* V: 20.9 Å³/atom

Cell: 3.1757 4.2575 6.1883 Å, 90.00 90.00 90.00°
Last column: nearest neighbours and their distance in Å.
Space group Pmmm (No. 47)
Asymmetric unit:
Sc: 0.0000 0.0000 0.0000 [1 per cell]  8 Cd 3.09, 2 Al 3.09, 2 Sc 3.18
Al: 0.0000 0.0000 0.5000 [1 per cell]  8 Cd 3.06, 2 Sc 3.09, 2 Al 3.18
Cd: 0.5000 0.5000 0.2556 [2 per cell]  4 Cd 3.02-3.18, 4 Al 3.06, 4 Sc 3.09


The following is a DFT calculation (PBE-GGA) of a geometry-optimized ScAlCd2 structure.

Output
* uncorrected energy: -3.113 eV/atom
* formation energy: -0.137 eV per atom
* V: 21.1 Å³/atom

Cell: 10.1472 3.3376 5.1140 Å, 90.00 103.24 90.00°
Last column: nearest neighbours and their distance in Å.
Space group C2/m (No. 12)
Asymmetric unit:
Sc: 0.0000 0.0000 0.0000 [2 per cell]  4 Al 3.05, 6 Cd 3.06-3.11, 2 Sc 3.34
Al: 0.0000 0.5000 0.5000 [2 per cell]  6 Cd 3.01-3.12, 4 Sc 3.05, 2 Al 3.34
Cd: 0.2446 0.0000 0.7434 [4 per cell]  3 Al 3.01-3.12, 6 Cd 3.02-3.34, 3 Sc 3.06-3.11


The following is a DFT calculation (PBE-GGA) of a geometry-optimized Sc2AlCd structure.

Output
* energy above the lowest structure with this stoichiometry: 0.024 eV per atom
* uncorrected energy: -4.678 eV/atom
* formation energy: -0.348 eV per atom
* V: 20.7 Å³/atom

Cell: 3.1490 4.1562 6.3330 Å, 90.00 90.07 90.00°
Last column: nearest neighbours and their distance in Å.
Space group P2/m (No. 10)
Asymmetric unit:
Sc: 0.9997 0.0000 0.2393 [2 per cell]  4 Al 3.01-3.02, 4 Sc 3.03-3.30, 4 Cd 3.09
Al: 0.5000 0.5000 0.0000 [1 per cell]  8 Sc 3.01-3.02, 2 Al 3.15, 2 Cd 3.17
Cd: 0.5000 0.5000 0.5000 [1 per cell]  8 Sc 3.09, 2 Cd 3.15, 2 Al 3.17


The following is a DFT calculation (PBE-GGA) of a geometry-optimized Sc2AlCd structure.

Output
* energy above the lowest structure with this stoichiometry: 0.198 eV per atom
* uncorrected energy: -4.504 eV/atom
* formation energy: -0.174 eV per atom
* V: 21.3 Å³/atom

Cell: 3.1698 3.1698 8.4825 Å, 90.00 90.00 90.00°
Last column: nearest neighbours and their distance in Å.
Space group P4mm (No. 99)
Asymmetric unit:
Sc: 0.0000 0.0000 0.0000 [1 per cell]  4 Cd 3.14, 8 Sc 3.17-3.26
Sc: 0.5000 0.5000 0.2795 [1 per cell]  4 Al 2.96, 8 Sc 3.17-3.26
Al: 0.0000 0.0000 0.5078 [1 per cell]  4 Sc 2.96, 4 Cd 2.99, 4 Al 3.17
Cd: 0.5000 0.5000 0.7411 [1 per cell]  4 Al 2.99, 4 Sc 3.14, 4 Cd 3.17


The following is a DFT calculation (PBE-GGA) of a geometry-optimized ScAlCd2 structure.

Output
* uncorrected energy: -2.919 eV/atom
* formation energy: 0.057 eV per atom
* V: 22.8 Å³/atom

Cell: 4.1874 4.1874 20.8061 Å, 90.00 90.00 90.00°
Last column: nearest neighbours and their distance in Å.
Space group I-42d (No. 122)
Asymmetric unit:
Sc: 0.0000 0.0000 0.0000 [4 per cell]  4 Al 2.96, 4 Cd 3.00
Al: 0.0000 0.0000 0.5000 [4 per cell]  4 Sc 2.96, 4 Cd 2.98
Cd: 0.2417 0.2500 0.6250 [8 per cell]  4 Cd 2.91-3.01, 2 Al 2.98, 2 Sc 3.00


The following is a DFT calculation (PBE-GGA) of a geometry-optimized ScAlCd3 structure.

Output
* energy above the lowest structure with this stoichiometry: 0.000 eV per atom
* uncorrected energy: -2.152 eV/atom
* formation energy: 0.412 eV per atom
* V: 25.9 Å³/atom

Cell: 5.0563 5.0563 5.0563 Å, 90.00 90.00 90.00°
Last column: nearest neighbours and their distance in Å.
Space group Pm-3m (No. 221)
Asymmetric unit:
Sc: 0.0000 0.0000 0.0000 [1 per cell]  12 Cd 3.58
Al: 0.5000 0.5000 0.5000 [1 per cell]  6 Cd 2.53
Cd: 0.0000 0.5000 0.5000 [3 per cell]  2 Al 2.53


The following is a DFT calculation (PBE-GGA) of a geometry-optimized ScAlCd2 structure.

Output
* uncorrected energy: -2.968 eV/atom
* formation energy: 0.008 eV per atom
* V: 21.5 Å³/atom

Cell: 3.1414 3.1414 30.1679 Å, 90.00 90.00 120.00°
Last column: nearest neighbours and their distance in Å.
Space group R-3m (No. 166, hexagonal axes)
Asymmetric unit:
Sc: 0.0000 0.0000 0.0000 [3 per cell]  6 Sc 3.14, 6 Cd 3.16
Al: 0.0000 0.0000 0.5000 [3 per cell]  6 Cd 3.04, 6 Al 3.14
Cd: 0.0000 0.0000 0.2476 [6 per cell]  3 Al 3.04, 6 Cd 3.14, 3 Sc 3.16


The following is a DFT calculation (PBE-GGA) of a geometry-optimized SmScAlCd structure.

Output
* energy above the lowest structure with this stoichiometry: 0.029 eV per atom
* uncorrected energy: -4.260 eV/atom
* formation energy: -0.333 eV per atom
* V: 23.7 Å³/atom

Cell: 7.2347 7.2347 7.2347 Å, 90.00 90.00 90.00°
Last column: nearest neighbours and their distance in Å.
Space group F-43m (No. 216)
Asymmetric unit:
Sm: 0.0000 0.0000 0.0000 [4 per cell]  4 Cd 3.13, 4 Al 3.13
Sc: 0.0000 0.0000 0.5000 [4 per cell]  4 Cd 3.13, 4 Al 3.13
Al: 0.2500 0.2500 0.2500 [4 per cell]  4 Sc 3.13, 4 Sm 3.13
Cd: 0.2500 0.2500 0.7500 [4 per cell]  4 Sc 3.13, 4 Sm 3.13